A plane-wave DFT calculation with PBE was carried out for CaLa12Dy5 after structural relaxation.

Summary:
ρ	6.54	g cm⁻³
E_form	0.028	eV/atom
DFT total energy	-4.6465	eV per atom

```
data_CaLa12Dy5
_chemical_formula_sum 'Ca1 La12 Dy5'
_space_group_name_H-M_alt 'P 1'
_space_group_IT_number 1
_cell_length_a 11.0111
_cell_length_b 11.0958
_cell_length_c 6.4148
_cell_angle_alpha 72.87
_cell_angle_beta 90.00
_cell_angle_gamma 60.25
loop_
_space_group_symop_operation_xyz
'x,y,z'
loop_
_atom_site_label
_atom_site_fract_x
_atom_site_fract_y
_atom_site_fract_z
_atom_site_occupancy
Ca1 0.0000 0.0000 0.0000 1
La1 0.8238 0.0000 0.5000 1
La2 0.1762 0.0000 0.5000 1
La3 0.6626 0.0000 0.0000 1
La4 0.3374 0.0000 0.0000 1
La5 0.3428 0.6603 0.0024 1
La6 0.9969 0.6603 0.0025 1
La7 0.0031 0.3397 0.9975 1
La8 0.6572 0.3397 0.9976 1
La9 0.5049 0.3321 0.5038 1
La10 0.8370 0.6680 0.4962 1
La11 0.1630 0.3320 0.5038 1
La12 0.4951 0.6680 0.4962 1
Dy1 0.5000 0.0000 0.5000 1
Dy2 0.1693 0.6614 0.5122 1
Dy3 0.8307 0.3386 0.4878 1
Dy4 0.6663 0.6674 0.9949 1
Dy5 0.3337 0.3326 0.0051 1
```

A plane-wave DFT calculation with PBE was carried out for CaTa2 after structural relaxation.

Summary:
ρ	9.43	g cm⁻³
E_form	0.579	eV/atom
DFT total energy	-7.9900	eV per atom
energy above the most stable polymorph in this dataset	169	meV/atom

```
data_CaTa2
_chemical_formula_sum 'Ca2 Ta4'
_space_group_name_H-M_alt 'P 1'
_space_group_IT_number 1
_cell_length_a 6.0991
_cell_length_b 6.0991
_cell_length_c 8.0630
_cell_angle_alpha 87.66
_cell_angle_beta 87.66
_cell_angle_gamma 28.21
loop_
_space_group_symop_operation_xyz
'x,y,z'
loop_
_atom_site_label
_atom_site_fract_x
_atom_site_fract_y
_atom_site_fract_z
_atom_site_occupancy
Ca1 0.0496 0.0496 0.0051 1
Ca2 0.3020 0.3020 0.2978 1
Ta1 0.6725 0.6725 0.6579 1
Ta2 0.5563 0.5563 0.3797 1
Ta3 0.9426 0.9426 0.6282 1
Ta4 0.3102 0.3102 0.8647 1
```

A plane-wave DFT calculation with PBE was carried out for BePOs2 after structural relaxation.

Summary:
ρ	13.78	g cm⁻³
E_form	0.121	eV/atom
DFT total energy	-7.7783	eV per atom

```
data_BePOs2
_chemical_formula_sum 'Be1 P1 Os2'
_space_group_name_H-M_alt 'P 1'
_space_group_IT_number 1
_cell_length_a 7.5138
_cell_length_b 7.5138
_cell_length_c 7.5138
_cell_angle_alpha 21.67
_cell_angle_beta 21.67
_cell_angle_gamma 21.67
loop_
_space_group_symop_operation_xyz
'x,y,z'
loop_
_atom_site_label
_atom_site_fract_x
_atom_site_fract_y
_atom_site_fract_z
_atom_site_occupancy
P1 0.2500 0.2500 0.2500 1
Os1 0.9978 0.9978 0.9978 1
Os2 0.5022 0.5022 0.5022 1
Be1 0.7500 0.7500 0.7500 1
```

A plane-wave DFT calculation with PBE was carried out for Nd3CdHg after structural relaxation.

Summary:
ρ	8.29	g cm⁻³
E_form	-0.303	eV/atom
DFT total energy	-3.4068	eV per atom
energy above the most stable polymorph in this dataset	0	meV/atom

```
data_Nd3CdHg
_chemical_formula_sum 'Nd6 Cd2 Hg2'
_space_group_name_H-M_alt 'P 1'
_space_group_IT_number 1
_cell_length_a 5.4258
_cell_length_b 5.4227
_cell_length_c 10.5119
_cell_angle_alpha 90.00
_cell_angle_beta 75.04
_cell_angle_gamma 90.00
loop_
_space_group_symop_operation_xyz
'x,y,z'
loop_
_atom_site_label
_atom_site_fract_x
_atom_site_fract_y
_atom_site_fract_z
_atom_site_occupancy
Nd1 0.7620 0.2500 0.1243 1
Nd2 0.3846 0.2500 0.8791 1
Nd3 0.5739 0.2500 0.5005 1
Nd4 0.2637 0.7500 0.1209 1
Nd5 0.8863 0.7500 0.8757 1
Nd6 0.0745 0.7500 0.4995 1
Cd1 0.4769 0.7500 0.6946 1
Cd2 0.1715 0.2500 0.3054 1
Hg1 0.6714 0.7500 0.3056 1
Hg2 0.9770 0.2500 0.6944 1
```

A plane-wave DFT calculation with PBE was carried out for LaSm3Tm2 after structural relaxation.

Summary:
ρ	7.31	g cm⁻³
E_form	0.283	eV/atom
DFT total energy	-4.3882	eV per atom
energy above the most stable polymorph in this dataset	0	meV/atom

```
data_LaSm3Tm2
_chemical_formula_sum 'La2 Sm6 Tm4'
_space_group_name_H-M_alt 'P 1'
_space_group_IT_number 1
_cell_length_a 5.5942
_cell_length_b 8.9813
_cell_length_c 8.9813
_cell_angle_alpha 110.92
_cell_angle_beta 90.00
_cell_angle_gamma 90.00
loop_
_space_group_symop_operation_xyz
'x,y,z'
loop_
_atom_site_label
_atom_site_fract_x
_atom_site_fract_y
_atom_site_fract_z
_atom_site_occupancy
La1 0.9930 0.7468 0.7468 1
La2 0.4930 0.2532 0.2532 1
Sm1 0.9930 0.8933 0.3602 1
Sm2 0.4930 0.6398 0.1067 1
Sm3 0.9930 0.3602 0.8933 1
Sm4 0.4930 0.1067 0.6398 1
Sm5 0.4930 0.9081 0.9081 1
Sm6 0.9930 0.0919 0.0919 1
Tm1 0.4930 0.7022 0.4853 1
Tm2 0.9930 0.5147 0.2978 1
Tm3 0.4930 0.4853 0.7022 1
Tm4 0.9930 0.2978 0.5147 1
```

A plane-wave DFT calculation with PBE was carried out for Al2CuF8 after structural relaxation.

Summary:
ρ	3.73	g cm⁻³
DFT total energy	-5.2096	eV per atom
formation energy without anion corrections	-2.7958	eV/atom

```
data_Al2CuF8
_chemical_formula_sum 'Al2 Cu1 F8'
_space_group_name_H-M_alt 'P 1'
_space_group_IT_number 1
_cell_length_a 5.0246
_cell_length_b 4.9534
_cell_length_c 4.9534
_cell_angle_alpha 80.58
_cell_angle_beta 97.26
_cell_angle_gamma 97.26
loop_
_space_group_symop_operation_xyz
'x,y,z'
loop_
_atom_site_label
_atom_site_fract_x
_atom_site_fract_y
_atom_site_fract_z
_atom_site_occupancy
Al1 0.4635 0.6913 0.6913 1
Al2 0.5365 0.3087 0.3087 1
Cu1 0.0000 0.0000 0.0000 1
F1 0.3318 0.3301 0.9616 1
F2 0.6682 0.0384 0.6699 1
F3 0.1769 0.8009 0.8009 1
F4 0.8231 0.1991 0.1991 1
F5 0.3318 0.9616 0.3301 1
F6 0.6682 0.6699 0.0384 1
F7 0.7258 0.5484 0.5484 1
F8 0.2742 0.4516 0.4516 1
```

A plane-wave DFT calculation with PBE was carried out for TbNpF6 after structural relaxation.

Summary:
ρ	5.98	g cm⁻³
DFT total energy	-7.2749	eV per atom
energy above the most stable polymorph in this dataset	75	meV/atom
formation energy without anion corrections	-3.6750	eV/atom

```
data_TbNpF6
_chemical_formula_sum 'Tb1 Np1 F6'
_space_group_name_H-M_alt 'P 1'
_space_group_IT_number 1
_cell_length_a 5.7991
_cell_length_b 5.7981
_cell_length_c 5.1753
_cell_angle_alpha 55.93
_cell_angle_beta 84.01
_cell_angle_gamma 79.27
loop_
_space_group_symop_operation_xyz
'x,y,z'
loop_
_atom_site_label
_atom_site_fract_x
_atom_site_fract_y
_atom_site_fract_z
_atom_site_occupancy
Tb1 0.0000 0.0000 0.0000 1
Np1 0.5000 0.5000 0.0000 1
F1 0.7480 0.3846 0.6855 1
F2 0.7480 0.0702 0.3145 1
F3 0.2520 0.9298 0.6855 1
F4 0.2520 0.6154 0.3145 1
F5 0.7743 0.7352 0.0000 1
F6 0.2257 0.2648 0.0000 1
```

A plane-wave DFT calculation with PBE was carried out for Re2IrF2 after structural relaxation.

Summary:
ρ	14.11	g cm⁻³
DFT total energy	-7.0876	eV per atom
energy above the most stable polymorph in this dataset	811	meV/atom
formation energy without anion corrections	0.4124	eV/atom

```
data_Re2IrF2
_chemical_formula_sum 'Re4 Ir2 F4'
_space_group_name_H-M_alt 'P 1'
_space_group_IT_number 1
_cell_length_a 7.4152
_cell_length_b 7.4152
_cell_length_c 2.5805
_cell_angle_alpha 90.00
_cell_angle_beta 90.00
_cell_angle_gamma 90.00
loop_
_space_group_symop_operation_xyz
'x,y,z'
loop_
_atom_site_label
_atom_site_fract_x
_atom_site_fract_y
_atom_site_fract_z
_atom_site_occupancy
Re1 0.3831 0.8831 0.0000 1
Re2 0.8831 0.6169 0.0000 1
Re3 0.6169 0.1169 0.0000 1
Re4 0.1169 0.3831 0.0000 1
Ir1 0.0000 0.0000 0.0000 1
Ir2 0.5000 0.5000 0.0000 1
F1 0.2253 0.7253 0.5000 1
F2 0.7253 0.7747 0.5000 1
F3 0.7747 0.2747 0.5000 1
F4 0.2747 0.2253 0.5000 1
```

Repeat the eighth record exactly.
A plane-wave DFT calculation with PBE was carried out for Re2IrF2 after structural relaxation.

Summary:
ρ	14.11	g cm⁻³
DFT total energy	-7.0876	eV per atom
energy above the most stable polymorph in this dataset	811	meV/atom
formation energy without anion corrections	0.4124	eV/atom

```
data_Re2IrF2
_chemical_formula_sum 'Re4 Ir2 F4'
_space_group_name_H-M_alt 'P 1'
_space_group_IT_number 1
_cell_length_a 7.4152
_cell_length_b 7.4152
_cell_length_c 2.5805
_cell_angle_alpha 90.00
_cell_angle_beta 90.00
_cell_angle_gamma 90.00
loop_
_space_group_symop_operation_xyz
'x,y,z'
loop_
_atom_site_label
_atom_site_fract_x
_atom_site_fract_y
_atom_site_fract_z
_atom_site_occupancy
Re1 0.3831 0.8831 0.0000 1
Re2 0.8831 0.6169 0.0000 1
Re3 0.6169 0.1169 0.0000 1
Re4 0.1169 0.3831 0.0000 1
Ir1 0.0000 0.0000 0.0000 1
Ir2 0.5000 0.5000 0.0000 1
F1 0.2253 0.7253 0.5000 1
F2 0.7253 0.7747 0.5000 1
F3 0.7747 0.2747 0.5000 1
F4 0.2747 0.2253 0.5000 1
```

Question: The lowest ρ belongs to which entry?
Answer: Al2CuF8

Question: The highest DFT total energy belongs to which entry?
Answer: Nd3CdHg